## Li2FeCoO4 (PBEsol)

Data for a relaxed Li2FeCoO4 crystal.

a b c (Å): 2.8069 2.8069 27.7581
angles (deg): 90.00 90.00 120.00
Space group R-3m (No. 166, hexagonal axes)
Inequivalent atoms, fractional coordinates:
Li (0.0000, 0.0000, 0.2495) [6 per cell]
Fe (0.0000, 0.0000, 0.0000) [3 per cell]
Co (0.0000, 0.0000, 0.5000) [3 per cell]
O (0.0000, 0.0000, 0.1306) [6 per cell]
O (0.0000, 0.0000, 0.3706) [6 per cell]

- E_form (uncorrected) (meV/atom) = -1554.4
- spin magnetization (μB/cell) = 3.00
- E above lowest polymorph (meV/atom) = 0